A relaxed structure of MnRhO2F, computed with PBE+U.

abc: 3.974 3.974 4.053
angles: 90.00 90.00 90.00
Atoms (fractional coordinates):
Mn 0.000 0.000 0.000
Rh 0.500 0.500 0.500
O 0.000 0.500 0.500
O 0.500 0.000 0.500
F 0.500 0.500 0.000

Calculated values
Crystal system = tetragonal
Electronic total energy = -6.025 eV per atom
SG = P4/mmm (123)